Entry from OQMD via LeMat-Bulk: Dy2Ag2Te3S after structural relaxation (PBE-GGA).

As for the final energy: -72.9 eV for the cell shown.

Unit cell a=9.565 b=10.286 c=4.516 alpha=90.00 beta=90.95 gamma=90.00
Element x y z (fractional)
Dy (0.000, 0.000, 0.000)
Dy (0.048, 0.500, 0.402)
Dy (0.500, 0.500, 0.000)
Dy (0.548, 0.000, 0.402)
Ag (0.288, 0.247, 0.239)
Ag (0.288, 0.753, 0.239)
Ag (0.788, 0.253, 0.239)
Ag (0.788, 0.747, 0.239)
Te (0.037, 0.294, 0.913)
Te (0.037, 0.706, 0.913)
Te (0.229, 0.000, 0.501)
Te (0.537, 0.206, 0.913)
Te (0.537, 0.794, 0.913)
Te (0.729, 0.500, 0.501)
S (0.331, 0.500, 0.477)
S (0.831, 0.000, 0.477)

***

Entry from OQMD via LeMat-Bulk: DyYAg2S4 after structural relaxation (PBE-GGA).

As for the final energy: -87.8 eV for the cell shown.

Unit cell a=9.254 b=9.255 c=4.126 alpha=90.00 beta=90.00 gamma=90.00
Element x y z (fractional)
Dy (0.000, 0.000, 0.000)
Dy (0.500, 0.500, 0.000)
Y (0.000, 0.500, 0.450)
Y (0.500, 0.000, 0.450)
Ag (0.250, 0.250, 0.225)
Ag (0.250, 0.750, 0.225)
Ag (0.750, 0.250, 0.225)
Ag (0.750, 0.750, 0.225)
S (0.000, 0.200, 0.493)
S (0.000, 0.800, 0.493)
S (0.201, 0.500, 0.957)
S (0.299, 0.000, 0.957)
S (0.500, 0.300, 0.493)
S (0.500, 0.700, 0.493)
S (0.701, 0.000, 0.957)
S (0.799, 0.500, 0.957)

***

Entry from OQMD via LeMat-Bulk: TbDyAg2Sb4 after structural relaxation (PBE-GGA).

As for the final energy: -36.4 eV for the cell shown.

Unit cell a=4.337 b=4.337 c=10.440 alpha=90.00 beta=90.00 gamma=90.00
Element x y z (fractional)
Tb (0.000, 0.000, 0.000)
Dy (0.500, 0.500, 0.528)
Ag (0.000, 0.500, 0.264)
Ag (0.500, 0.000, 0.264)
Sb (0.000, 0.000, 0.449)
Sb (0.000, 0.500, 0.764)
Sb (0.500, 0.000, 0.764)
Sb (0.500, 0.500, 0.080)

***

Entry from OQMD via LeMat-Bulk: DyTmAg2Sb4 after structural relaxation (PBE-GGA).

As for the final energy: -35.9 eV for the cell shown.

Unit cell a=4.322 b=4.322 c=10.393 alpha=90.00 beta=90.00 gamma=90.00
Element x y z (fractional)
Dy (0.000, 0.000, 0.000)
Tm (0.500, 0.500, 0.529)
Ag (0.000, 0.500, 0.265)
Ag (0.500, 0.000, 0.265)
Sb (0.000, 0.000, 0.452)
Sb (0.000, 0.500, 0.763)
Sb (0.500, 0.000, 0.763)
Sb (0.500, 0.500, 0.078)

***

Entry from OQMD via LeMat-Bulk: DyYAg2Sb4 after structural relaxation (PBE-GGA).

As for the final energy: -38.2 eV for the cell shown.

Unit cell a=4.343 b=4.343 c=10.390 alpha=90.00 beta=90.00 gamma=90.00
Element x y z (fractional)
Dy (0.000, 0.000, 0.000)
Y (0.500, 0.500, 0.527)
Ag (0.000, 0.500, 0.263)
Ag (0.500, 0.000, 0.263)
Sb (0.000, 0.000, 0.448)
Sb (0.000, 0.500, 0.764)
Sb (0.500, 0.000, 0.764)
Sb (0.500, 0.500, 0.077)

***

Entry from OQMD via LeMat-Bulk: DyScAg after structural relaxation (PBE-GGA).

As for the formation enthalpy at 0 K: 0.509 eV/atom. As for the final energy: -48.9 eV for the cell shown.

Unit cell a=6.709 b=6.709 c=6.709 alpha=90.00 beta=90.00 gamma=90.00
Element x y z (fractional)
Dy (0.000, 0.000, 0.000)
Dy (0.000, 0.500, 0.500)
Dy (0.500, 0.000, 0.500)
Dy (0.500, 0.500, 0.000)
Sc (0.250, 0.250, 0.750)
Sc (0.250, 0.750, 0.250)
Sc (0.750, 0.250, 0.250)
Sc (0.750, 0.750, 0.750)
Ag (0.000, 0.000, 0.500)
Ag (0.000, 0.500, 0.000)
Ag (0.500, 0.000, 0.000)
Ag (0.500, 0.500, 0.500)

***

Entry from OQMD via LeMat-Bulk: DySc2Si4Ag4 after structural relaxation (PBE-GGA).

As for the final energy: -55.2 eV for the cell shown.

Unit cell a=8.002 b=8.002 c=8.002 alpha=150.35 beta=128.07 gamma=60.94
Element x y z (fractional)
Dy (0.000, 0.000, 0.000)
Sc (0.379, 0.879, 0.500)
Sc (0.621, 0.121, 0.500)
Si (0.221, 0.221, 0.000)
Si (0.328, 0.500, 0.828)
Si (0.672, 0.500, 0.172)
Si (0.779, 0.779, 0.000)
Ag (0.031, 0.331, 0.700)
Ag (0.370, 0.669, 0.700)
Ag (0.630, 0.331, 0.300)
Ag (0.969, 0.669, 0.300)

***

Entry from OQMD via LeMat-Bulk: DyScAg2Sn2 after structural relaxation (PBE-GGA).

As for the final energy: -27.8 eV for the cell shown.

Unit cell a=4.665 b=4.665 c=7.151 alpha=90.00 beta=90.00 gamma=120.00
Element x y z (fractional)
Dy (0.000, 0.000, 0.000)
Sc (0.000, 0.000, 0.501)
Ag (0.333, 0.667, 0.684)
Ag (0.667, 0.333, 0.194)
Sn (0.333, 0.667, 0.287)
Sn (0.667, 0.333, 0.772)

***

Entry from OQMD via LeMat-Bulk: DyAgSe2 after structural relaxation (PBE-GGA).

As for the final energy: -77.0 eV for the cell shown.

Unit cell a=4.251 b=6.817 c=13.780 alpha=90.00 beta=90.00 gamma=90.00
Element x y z (fractional)
Dy (0.219, 0.205, 0.373)
Dy (0.281, 0.795, 0.873)
Dy (0.719, 0.295, 0.627)
Dy (0.781, 0.705, 0.127)
Ag (0.007, 0.705, 0.371)
Ag (0.493, 0.295, 0.871)
Ag (0.507, 0.795, 0.629)
Ag (0.993, 0.205, 0.129)
Se (0.219, 0.090, 0.726)
Se (0.227, 0.493, 0.526)
Se (0.273, 0.507, 0.026)
Se (0.281, 0.910, 0.226)
Se (0.719, 0.410, 0.274)
Se (0.727, 0.007, 0.474)
Se (0.773, 0.993, 0.974)
Se (0.781, 0.590, 0.774)

***

Entry from OQMD via LeMat-Bulk: DyAgSnSe3 after structural relaxation (PBE-GGA).

The calculation puts the relative energy among the computed polymorphs at 0.143 eV per formula unit. As for the final energy: -108.5 eV for the cell shown.

Unit cell a=12.095 b=4.222 c=12.020 alpha=90.00 beta=90.00 gamma=90.00
Element x y z (fractional)
Dy (0.025, 0.250, 0.176)
Dy (0.475, 0.750, 0.676)
Dy (0.525, 0.250, 0.324)
Dy (0.975, 0.750, 0.824)
Ag (0.239, 0.750, 0.316)
Ag (0.261, 0.250, 0.816)
Ag (0.739, 0.750, 0.184)
Ag (0.761, 0.250, 0.684)
Sn (0.170, 0.250, 0.514)
Sn (0.330, 0.750, 0.014)
Sn (0.670, 0.250, 0.986)
Sn (0.830, 0.750, 0.486)
Se (0.025, 0.750, 0.352)
Se (0.086, 0.250, 0.935)
Se (0.237, 0.750, 0.671)
Se (0.263, 0.250, 0.171)
Se (0.414, 0.750, 0.435)
Se (0.475, 0.250, 0.852)
Se (0.525, 0.750, 0.148)
Se (0.586, 0.250, 0.565)
Se (0.737, 0.750, 0.829)
Se (0.763, 0.250, 0.329)
Se (0.914, 0.750, 0.065)
Se (0.975, 0.250, 0.648)

***

Entry from OQMD via LeMat-Bulk: DyAgSnSe3 after structural relaxation (PBE-GGA).

The calculation puts the relative energy among the computed polymorphs at 0.000 eV per formula unit. As for the final energy: -54.5 eV for the cell shown.

Unit cell a=7.128 b=7.128 c=10.614 alpha=90.00 beta=90.00 gamma=146.60
Element x y z (fractional)
Dy (0.000, 0.000, 0.000)
Dy (0.000, 0.000, 0.500)
Ag (0.469, 0.531, 0.750)
Ag (0.531, 0.469, 0.250)
Sn (0.239, 0.761, 0.250)
Sn (0.761, 0.239, 0.750)
Se (0.095, 0.905, 0.750)
Se (0.355, 0.645, 0.553)
Se (0.355, 0.645, 0.947)
Se (0.645, 0.355, 0.053)
Se (0.645, 0.355, 0.447)
Se (0.905, 0.095, 0.250)

***

Entry from OQMD via LeMat-Bulk: DyAgSnTeSe2 after structural relaxation (PBE-GGA).

As for the final energy: -52.8 eV for the cell shown.

Unit cell a=7.330 b=7.330 c=11.095 alpha=90.00 beta=90.00 gamma=147.23
Element x y z (fractional)
Dy (0.000, 0.000, 0.000)
Dy (0.000, 0.000, 0.500)
Ag (0.474, 0.526, 0.750)
Ag (0.526, 0.474, 0.250)
Sn (0.213, 0.787, 0.250)
Sn (0.787, 0.213, 0.750)
Te (0.109, 0.891, 0.750)
Te (0.891, 0.109, 0.250)
Se (0.363, 0.637, 0.559)
Se (0.363, 0.637, 0.941)
Se (0.637, 0.363, 0.059)
Se (0.637, 0.363, 0.441)

***

Which formula does entry 10 have?
DyAgSnSe3